No. 1
# MgMo2Se | Alexandria via LeMat-Bulk | PBE | optimized geometry
data_MgMo2Se
_cell_length_a 3.3195
_cell_length_b 4.7110
_cell_length_c 8.6757
_cell_angle_alpha 90.00
_cell_angle_beta 90.00
_cell_angle_gamma 90.00
_symmetry_space_group_name_H-M 'I m m 2'
_symmetry_Int_Tables_number 44
_symmetry_space_group_name_Hall 'I 2 -2'
loop_
_atom_site_label
_atom_site_fract_x
_atom_site_fract_y
_atom_site_fract_z
Mg1 0.0000 0.0000 0.0000
Mo1 0.0000 0.0000 0.4971
Mo2 0.0000 0.5000 0.7713
Se1 0.0000 0.5000 0.2373
# crystal system: orthorhombic
# ΔE_f (raw): 0.2722 eV per atom
# calculated density: 7.22 g cm⁻³
# calculated total energy: -51.31 eV/cell

=====

No. 2
# CrSiW | Alexandria via LeMat-Bulk | PBE | optimized geometry
data_CrSiW
_cell_length_a 7.6581
_cell_length_b 4.8136
_cell_length_c 8.4719
_cell_angle_alpha 90.00
_cell_angle_beta 90.00
_cell_angle_gamma 90.00
_symmetry_space_group_name_H-M 'A m m 2'
_symmetry_Int_Tables_number 38
_symmetry_space_group_name_Hall 'A 2 -2'
loop_
_atom_site_label
_atom_site_fract_x
_atom_site_fract_y
_atom_site_fract_z
Cr1 0.0000 0.2425 0.0000
Cr2 0.2482 0.0000 0.5777
Si1 0.0000 0.0000 0.7546
Si2 0.5000 0.0000 0.4112
Si3 0.5000 0.2474 0.1637
W1 0.1895 0.0000 0.2465
W2 0.3219 0.0000 0.9133
# crystal system: orthorhombic
# ΔE_f (raw): -0.1422 eV per atom
# calculated density: 11.23 g cm⁻³
# calculated total energy: -227.41 eV/cell

=====

No. 3
# NdHo2Er5Tm | Alexandria via LeMat-Bulk | PBE | optimized geometry
data_NdHo2Er5Tm
_cell_length_a 5.5609
_cell_length_b 19.6313
_cell_length_c 10.4920
_cell_angle_alpha 90.00
_cell_angle_beta 90.00
_cell_angle_gamma 90.00
_symmetry_space_group_name_H-M 'C m c 21'
_symmetry_Int_Tables_number 36
_symmetry_space_group_name_Hall 'C 2c -2'
loop_
_atom_site_label
_atom_site_fract_x
_atom_site_fract_y
_atom_site_fract_z
Nd1 0.0000 0.0840 0.0000
Ho1 0.0000 0.3871 0.8645
Ho2 0.0000 0.3888 0.2815
Er1 0.0000 0.0210 0.2839
Er2 0.0000 0.1141 0.5684
Er3 0.0000 0.2015 0.2567
Er4 0.0000 0.2189 0.8598
Er5 0.0000 0.4818 0.5706
Tm1 0.0000 0.3003 0.5590
# DFT formation energy: 0.164 eV per atom
# crystal system: orthorhombic
# calculated density: 8.58 g cm⁻³
# calculated total energy: -158.95 eV/cell

=====

No. 4
# Ba4BeRh | Alexandria via LeMat-Bulk | PBE | optimized geometry
data_Ba4BeRh
_cell_length_a 9.7189
_cell_length_b 9.7189
_cell_length_c 9.7189
_cell_angle_alpha 90.00
_cell_angle_beta 90.00
_cell_angle_gamma 90.00
_symmetry_space_group_name_H-M 'F -4 3 m'
_symmetry_Int_Tables_number 216
_symmetry_space_group_name_Hall 'F -4 2 3'
loop_
_atom_site_label
_atom_site_fract_x
_atom_site_fract_y
_atom_site_fract_z
Ba1 0.1245 0.1245 0.3755
Be1 0.0000 0.0000 0.0000
Rh1 0.2500 0.2500 0.7500
# DFT formation energy: 1.100 eV per atom
# crystal system: cubic
# calculated density: 4.78 g cm⁻³
# calculated total energy: -48.68 eV/cell

=====

> calculated density of number 2 (CrSiW)?

11.23 g cm⁻³

=====

> Look up the calculated total energy of the second one.

-227.41 eV/cell